# 1
! K2PmCoO4 (PBE+U, optimized geometry); values from VASP
! volume	135.9	Å³/cell
! SG	I-4 (82)
! VASP energy	-0.42695	Ry/atom
&SYSTEM
  ibrav = 0, nat = 8, ntyp = 4
/
ATOMIC_SPECIES
K 39.10 K.upf
Pm 145.00 Pm.upf
Co 58.93 Co.upf
O 16.00 O.upf
ATOMIC_POSITIONS crystal
K 0.000 0.000 0.000
K 0.750 0.250 0.500
Pm 0.250 0.750 0.500
Co 0.500 0.500 0.000
O 0.262 0.664 0.080
O 0.336 0.416 0.597
O 0.584 0.181 0.920
O 0.819 0.738 0.403
CELL_PARAMETERS angstrom
-3.053 3.053 3.645
3.053 -3.053 3.645
3.053 3.053 -3.645

# 2
! K2PrCoO4 (PBE+U, optimized geometry); values from VASP
! volume	136.9	Å³/cell
! SG	I-4 (82)
! VASP energy	-0.42521	Ry/atom
&SYSTEM
  ibrav = 0, nat = 8, ntyp = 4
/
ATOMIC_SPECIES
K 39.10 K.upf
Pr 140.91 Pr.upf
Co 58.93 Co.upf
O 16.00 O.upf
ATOMIC_POSITIONS crystal
K 0.000 0.000 0.000
K 0.750 0.250 0.500
Pr 0.250 0.750 0.500
Co 0.500 0.500 0.000
O 0.260 0.188 0.595
O 0.335 0.740 0.928
O 0.593 0.665 0.405
O 0.812 0.407 0.072
CELL_PARAMETERS angstrom
-3.065 3.065 3.643
3.065 -3.065 3.643
3.065 3.065 -3.643

# 3
! K2CoPt2O6 (PBE+U, optimized geometry); values from VASP
! volume	158.5	Å³/cell
! SG	C2/m (12)
! VASP energy	-0.40176	Ry/atom
&SYSTEM
  ibrav = 0, nat = 11, ntyp = 4
/
ATOMIC_SPECIES
K 39.10 K.upf
Co 58.93 Co.upf
Pt 195.08 Pt.upf
O 16.00 O.upf
ATOMIC_POSITIONS crystal
K 0.165 0.835 0.000
K 0.835 0.165 0.000
Co 0.000 0.000 0.500
Pt 0.334 0.666 0.500
Pt 0.666 0.334 0.500
O 0.052 0.396 0.666
O 0.286 0.286 0.335
O 0.396 0.052 0.666
O 0.604 0.948 0.334
O 0.714 0.714 0.665
O 0.948 0.604 0.334
CELL_PARAMETERS angstrom
2.738 -4.779 0.000
2.738 4.779 0.000
-1.784 0.000 6.056

# 4
! K3PuCo2O9 (PBE+U, optimized geometry); values from VASP
! volume	192.4	Å³/cell
! SG	P-3m1 (164)
! VASP energy	-0.45998	Ry/atom
&SYSTEM
  ibrav = 0, nat = 15, ntyp = 4
/
ATOMIC_SPECIES
K 39.10 K.upf
Pu 244.00 Pu.upf
Co 58.93 Co.upf
O 16.00 O.upf
ATOMIC_POSITIONS crystal
K 0.000 0.000 0.000
K 0.333 0.667 0.670
K 0.667 0.333 0.330
Pu 0.000 0.000 0.500
Co 0.333 0.667 0.137
Co 0.667 0.333 0.863
O 0.000 0.500 0.000
O 0.166 0.332 0.332
O 0.166 0.834 0.332
O 0.332 0.166 0.668
O 0.500 0.000 0.000
O 0.500 0.500 0.000
O 0.668 0.834 0.332
O 0.834 0.166 0.668
O 0.834 0.668 0.668
CELL_PARAMETERS angstrom
5.660 0.000 0.000
-2.830 4.902 0.000
0.000 0.000 6.936